# 1
BaSbMo | Alexandria via LeMat-Bulk | PBE-GGA | relaxed; ΔE_f (raw) = 0.444 eV per atom; energy above the most stable polymorph in this dataset = 0.242 eV/atom; D(E_F) = 3.34 states/eV/cell
1.0
4.091 0.000 0.000
-2.046 3.543 0.000
0.000 0.000 6.320
Ba Sb Mo
1 1 1
direct
0.000 0.000 0.000
0.667 0.333 0.580
0.333 0.667 0.380

=====

# 2
BaSbMo | Alexandria via LeMat-Bulk | PBE-GGA | relaxed; ΔE_f (raw) = 0.201 eV per atom; energy above the most stable polymorph in this dataset = 0.000 eV/atom; D(E_F) = 2.77 states/eV/cell
1.0
-1.818 1.818 6.292
1.818 -1.818 6.292
1.818 1.818 -6.292
Ba Sb Mo
1 1 1
direct
0.000 0.000 0.000
0.719 0.719 0.000
0.301 0.301 0.000

=====

# 3
Ba2SbMo | Alexandria via LeMat-Bulk | PBE-GGA | relaxed; ΔE_f (raw) = 0.551 eV per atom; D(E_F) = 3.15 states/eV/cell
1.0
3.456 0.000 0.000
0.000 3.456 0.000
0.000 0.000 10.519
Ba Sb Mo
2 1 1
direct
0.000 0.000 0.241
0.000 0.000 0.759
0.500 0.500 0.500
0.500 0.500 0.000

=====

# 4
Ba2SbMo | Alexandria via LeMat-Bulk | PBE-GGA | relaxed; ΔE_f (raw) = 0.455 eV per atom; D(E_F) = 3.25 states/eV/cell
1.0
0.000 3.936 3.936
3.936 0.000 3.936
3.936 3.936 0.000
Ba Sb Mo
2 1 1
direct
0.000 0.000 0.000
0.250 0.250 0.250
0.750 0.750 0.750
0.500 0.500 0.500

=====

Here are the calculated total magnetic moment numbers, same order: 0.09 0.07 0.00 0.75 (μB/atom).